Compound: TbTm6Sc6
Source: the Alexandria database
Functional: PBE-GGA
Structure: relaxed Values from VASP.

Calculated values
Crystal system: hexagonal
SG: P6/mmm, No. 191
Energy relative to the elements in eV/atom: 0.229
Calculated total energy in Ry per atom: -0.3758

Quantum ESPRESSO input file:
```
&SYSTEM
  ibrav = 0, nat = 13, ntyp = 3
/
ATOMIC_SPECIES
Sc 44.96 Sc.upf
Tm 168.93 Tm.upf
Tb 158.93 Tb.upf
CELL_PARAMETERS angstrom
6.352 -0.002 0.000
-3.177 5.501 0.000
0.000 0.000 10.816
ATOMIC_POSITIONS angstrom
Sc 1.588 2.750 2.601
Tm 0.000 0.000 7.135
Sc -1.588 2.751 8.213
Sc 1.588 2.750 8.215
Tm 3.174 1.834 5.408
Sc 3.176 -0.001 2.603
Sc -1.588 2.751 2.603
Tm 0.002 3.665 5.408
Tm 0.000 0.000 3.680
Tb 0.000 0.000 0.000
Sc 3.176 -0.001 8.213
Tm -0.001 3.667 0.000
Tm 3.177 1.832 0.000
```